No. 1
Computed, not measured: a relaxed YMo2Br crystal at the PBE level of DFT.

```
data_YMo2Br
_cell_length_a 4.5301
_cell_length_b 4.5301
_cell_length_c 7.5917
_cell_angle_alpha 90.00
_cell_angle_beta 90.00
_cell_angle_gamma 90.00
_symmetry_space_group_name_H-M 'I -4 m 2'
_symmetry_Int_Tables_number 119
_symmetry_space_group_name_Hall 'I -4 -2'
loop_
_atom_site_label
_atom_site_fract_x
_atom_site_fract_y
_atom_site_fract_z
Y1 0.0000 0.0000 0.0000
Mo1 0.0000 0.0000 0.5000
Mo2 0.0000 0.5000 0.2500
Br1 0.0000 0.5000 0.7500
```

Output
Energy relative to the lowest polymorph listed for this composition = 0.744 eV per atom
VASP energy = -6.7643 eV per atom
Energy relative to the elements, uncorrected = 685.5 meV per atom
Calculated density = 7.69 Mg/m³
Spin magnetization = 0.0 μB per formula unit

No. 2
Computed, not measured: a relaxed YMoBr2 crystal at the PBE level of DFT.

```
data_YMoBr2
_cell_length_a 3.9148
_cell_length_b 4.4039
_cell_length_c 5.2942
_cell_angle_alpha 90.00
_cell_angle_beta 92.07
_cell_angle_gamma 90.00
_symmetry_space_group_name_H-M 'P 1 2/m 1'
_symmetry_Int_Tables_number 10
_symmetry_space_group_name_Hall '-P 2y'
loop_
_atom_site_label
_atom_site_fract_x
_atom_site_fract_y
_atom_site_fract_z
Y1 0.0000 0.0000 0.0000
Mo1 0.5000 0.0000 0.5000
Br1 0.2884 0.5000 0.7278
```

Output
Energy relative to the lowest polymorph listed for this composition = 0.442 eV per atom
VASP energy = -5.1763 eV per atom
Energy relative to the elements, uncorrected = -16.1 meV per atom
Calculated density = 6.27 Mg/m³
Spin magnetization = 0.0 μB per formula unit

No. 3
Computed, not measured: a relaxed YMoBr2 crystal at the PBE level of DFT.

```
data_YMoBr2
_cell_length_a 4.0767
_cell_length_b 4.0767
_cell_length_c 11.3043
_cell_angle_alpha 90.00
_cell_angle_beta 90.00
_cell_angle_gamma 90.00
_symmetry_space_group_name_H-M 'I -4 m 2'
_symmetry_Int_Tables_number 119
_symmetry_space_group_name_Hall 'I -4 -2'
loop_
_atom_site_label
_atom_site_fract_x
_atom_site_fract_y
_atom_site_fract_z
Y1 0.0000 0.0000 0.0000
Mo1 0.0000 0.5000 0.2500
Br1 0.0000 0.0000 0.5000
Br2 0.0000 0.5000 0.7500
```

Output
Energy relative to the lowest polymorph listed for this composition = 0.642 eV per atom
VASP energy = -4.9765 eV per atom
Energy relative to the elements, uncorrected = 183.7 meV per atom
Calculated density = 6.09 Mg/m³
Spin magnetization = 3.1 μB per formula unit

No. 4
Computed, not measured: a relaxed YMoBr2 crystal at the PBE level of DFT.

```
data_YMoBr2
_cell_length_a 3.4702
_cell_length_b 6.1683
_cell_length_c 9.3804
_cell_angle_alpha 90.00
_cell_angle_beta 90.00
_cell_angle_gamma 90.00
_symmetry_space_group_name_H-M 'C m m m'
_symmetry_Int_Tables_number 65
_symmetry_space_group_name_Hall '-C 2 2'
loop_
_atom_site_label
_atom_site_fract_x
_atom_site_fract_y
_atom_site_fract_z
Y1 0.0000 0.0000 0.0000
Mo1 0.0000 0.0000 0.5000
Br1 0.0000 0.5000 0.2518
```

Output
Energy relative to the lowest polymorph listed for this composition = 0.674 eV per atom
VASP energy = -4.9445 eV per atom
Energy relative to the elements, uncorrected = 215.8 meV per atom
Calculated density = 5.70 Mg/m³
Spin magnetization = 3.5 μB per formula unit